This record from Alexandria via LeMat-Bulk describes BaLaCoSbO6 after structural relaxation. The functional is PBE with a Hubbard U.

abc: 5.778 5.778 5.778
angles: 120.21 120.21 89.64
Last column: magnetic moment on the atom in μB.
Sites, in units of the cell vectors:
O1 0.814 0.332 0.105  0.04
O2 0.668 0.773 0.482  0.04
O3 0.291 0.186 0.518  0.04
O4 0.253 0.253 0.000  0.06
O5 0.747 0.747 0.000  0.06
O6 0.227 0.709 0.895  0.04
Co1 0.000 0.000 0.000  2.67
Sb1 0.500 0.500 0.000  0.03
La1 0.250 0.750 0.500  0.00
Ba1 0.750 0.250 0.500  0.00

## Properties
D(E_F): 6.01 states/eV/cell
E: -6.711 eV/atom